Crystalline RbCuSeO6 at its relaxed geometry, computed with PBE.

Results
Formation energy from raw total energies: -0.603 eV per atom
Total DFT energy (no corrections): -4.86 eV per atom

abc: 4.9533 4.9533 6.4402
angles: 90.00 90.00 120.00
Space group P312 (No. 149)
Unique sites:
1 Rb 0.0000 0.0000 0.0000
2 Cu 0.3333 0.6667 0.5000
3 Se 0.6667 0.3333 0.5000
4 O 0.3907 0.0175 0.6625